[1]
First-principles (PBEsol) data for a geometry-optimized MnBr2 structure, as listed in Alexandria via LeMat-Bulk.

Geometry as POSCAR:
```
MnBr2
1.0
3.797 0.000 0.000
1.899 3.289 0.000
1.899 1.096 6.495
Mn Br
1 2
direct
0.000 0.000 0.000 Mn
0.256 0.256 0.231 Br
0.744 0.744 0.769 Br
```

Values from the calculation:
- space-group type = R-3m
- energy (eV per atom) = -5.17

***

[2]
First-principles (PBEsol) data for a geometry-optimized Mn2Br structure, as listed in Alexandria via LeMat-Bulk.

Geometry as POSCAR:
```
Mn2Br
1.0
-4.902 -0.137 1.810
3.211 -4.360 0.818
1.806 -0.899 4.823
Br Mn
2 4
direct
0.750 0.500 0.250 Br
0.250 0.500 0.750 Br
0.679 0.000 0.821 Mn
0.321 0.000 0.179 Mn
0.179 0.000 0.679 Mn
0.821 0.000 0.321 Mn
```

Values from the calculation:
- space-group type = I4/mcm
- energy (eV per atom) = -6.38

***

[3]
First-principles (PBEsol) data for a geometry-optimized MnBr2 structure, as listed in Alexandria via LeMat-Bulk.

Geometry as POSCAR:
```
MnBr2
1.0
3.849 0.000 0.000
0.000 6.088 0.000
0.000 0.000 6.511
Mn Br
2 4
direct
0.000 0.000 0.000 Mn
0.500 0.500 0.500 Mn
0.000 0.263 0.660 Br
0.000 0.737 0.340 Br
0.500 0.763 0.840 Br
0.500 0.237 0.160 Br
```

Values from the calculation:
- space-group type = Pnnm
- energy (eV per atom) = -5.11

***

[4]
First-principles (PBEsol) data for a geometry-optimized MnBr2 structure, as listed in Alexandria via LeMat-Bulk.

Geometry as POSCAR:
```
MnBr2
1.0
-3.264 -0.098 0.000
0.096 -3.170 -3.914
0.054 -1.803 4.704
Br Mn
2 1
direct
0.500 0.667 0.333 Br
0.500 0.333 0.667 Br
0.000 0.000 0.000 Mn
```

Values from the calculation:
- space-group type = P6/mmm
- energy (eV per atom) = -3.90

***

[5]
First-principles (PBEsol) data for a geometry-optimized MnBr3 structure, as listed in Alexandria via LeMat-Bulk.

Geometry as POSCAR:
```
MnBr3
1.0
3.245 0.000 0.000
0.000 3.245 0.000
0.000 0.000 9.661
Br Mn
3 1
direct
0.000 0.000 0.668 Br
0.500 0.500 0.000 Br
0.000 0.000 0.332 Br
0.500 0.500 0.500 Mn
```

Values from the calculation:
- space-group type = P4/mmm
- energy (eV per atom) = -3.93

***

[6]
First-principles (PBEsol) data for a geometry-optimized MnBr2 structure, as listed in Alexandria via LeMat-Bulk.

Geometry as POSCAR:
```
MnBr2
1.0
-1.888 -0.614 -3.097
4.842 -0.896 -4.958
-0.487 -7.439 -0.412
Mn Br
2 4
direct
0.755 0.330 0.159 Mn
0.245 0.670 0.841 Mn
0.410 0.289 0.891 Br
0.190 0.236 0.384 Br
0.810 0.764 0.616 Br
0.590 0.711 0.109 Br
```

Values from the calculation:
- space-group type = C2/m
- energy (eV per atom) = -5.09

***

[7]
First-principles (PBEsol) data for a geometry-optimized MnBr3 structure, as listed in Alexandria via LeMat-Bulk.

Geometry as POSCAR:
```
MnBr3
1.0
-2.096 -2.539 -0.001
-0.400 -1.803 -5.988
3.338 -4.889 -2.056
Br Mn
3 1
direct
0.500 0.500 0.500 Br
0.674 0.826 0.826 Br
0.326 0.174 0.174 Br
0.000 0.000 0.000 Mn
```

Values from the calculation:
- space-group type = Immm
- energy (eV per atom) = -4.16

***

[8]
First-principles (PBEsol) data for a geometry-optimized MnBr2 structure, as listed in Alexandria via LeMat-Bulk.

Geometry as POSCAR:
```
MnBr2
1.0
3.797 0.000 0.000
-1.899 3.288 0.000
0.000 0.000 6.489
Mn Br
1 2
direct
0.000 0.000 0.000 Mn
0.333 0.667 0.231 Br
0.667 0.333 0.769 Br
```

Values from the calculation:
- space-group type = P-3m1
- energy (eV per atom) = -5.17

***

[9]
First-principles (PBEsol) data for a geometry-optimized MnMo2Br structure, as listed in Alexandria via LeMat-Bulk.

Geometry as POSCAR:
```
MnMo2Br
1.0
2.905 0.000 0.000
1.452 2.515 0.000
1.452 0.838 8.209
Br Mn Mo
1 1 2
direct
0.500 0.500 0.500 Br
0.000 0.000 0.000 Mn
0.256 0.256 0.233 Mo
0.744 0.744 0.767 Mo
```

Values from the calculation:
- space-group type = R-3m
- energy above the lowest structure with this stoichiometry (eV/atom) = 0.000

***

[10]
First-principles (PBEsol) data for a geometry-optimized Mn2MoBr structure, as listed in Alexandria via LeMat-Bulk.

Geometry as POSCAR:
```
Mn2MoBr
1.0
-0.538 -2.822 0.344
1.485 -0.763 -3.940
4.072 -0.576 1.646
Br Mn Mo
1 2 1
direct
0.000 0.500 0.500 Br
0.000 0.000 0.000 Mn
0.500 0.000 0.500 Mn
0.500 0.500 0.000 Mo
```

Values from the calculation:
- space-group type = Pmmm
- energy above the lowest structure with this stoichiometry (eV/atom) = 0.000

***

[11]
First-principles (PBEsol) data for a geometry-optimized Mn2MoBr structure, as listed in Alexandria via LeMat-Bulk.

Geometry as POSCAR:
```
Mn2MoBr
1.0
-2.367 -1.683 0.506
2.850 -2.239 -2.702
1.910 -1.521 3.875
Br Mn Mo
1 2 1
direct
0.500 0.000 0.000 Br
0.740 0.479 0.724 Mn
0.260 0.521 0.276 Mn
0.000 0.000 0.500 Mo
```

Values from the calculation:
- space-group type = C2/m
- energy above the lowest structure with this stoichiometry (eV/atom) = 0.037

***

[12]
First-principles (PBEsol) data for a geometry-optimized MnMoBr2 structure, as listed in Alexandria via LeMat-Bulk.

Geometry as POSCAR:
```
MnMoBr2
1.0
-2.536 -1.917 0.068
2.011 -2.744 -2.370
2.725 -0.723 6.914
Br Mn Mo
2 1 1
direct
0.647 0.643 0.295 Br
0.353 0.357 0.705 Br
0.500 0.000 0.000 Mn
0.000 0.500 0.000 Mo
```

Values from the calculation:
- space-group type = C2/m
- energy (eV per atom) = -6.10

***

[13]
First-principles (PBEsol) data for a geometry-optimized MnMo4Br structure, as listed in Alexandria via LeMat-Bulk.

Geometry as POSCAR:
```
MnMo4Br
1.0
5.206 0.000 0.000
2.603 4.508 0.000
2.603 1.503 4.250
Br Mn Mo
1 1 4
direct
0.250 0.250 0.250 Br
0.000 0.000 0.000 Mn
0.625 0.625 0.125 Mo
0.125 0.625 0.625 Mo
0.625 0.125 0.625 Mo
0.625 0.625 0.625 Mo
```

Values from the calculation:
- space-group type = F-43m
- energy (eV per atom) = -8.87

***

[14]
First-principles (PBEsol) data for a geometry-optimized MnMo2Br structure, as listed in Alexandria via LeMat-Bulk.

Geometry as POSCAR:
```
MnMo2Br
1.0
3.678 0.000 0.000
0.000 3.678 0.000
-1.839 -1.839 4.556
Br Mn Mo
1 1 2
direct
0.500 0.500 0.000 Br
0.000 0.000 0.000 Mn
0.750 0.250 0.500 Mo
0.250 0.750 0.500 Mo
```

Values from the calculation:
- space-group type = I4/mmm
- energy above the lowest structure with this stoichiometry (eV/atom) = 0.306

***

[15]
First-principles (PBEsol) data for a geometry-optimized MnBrN2 structure, as listed in Alexandria via LeMat-Bulk.

Geometry as POSCAR:
```
MnBrN2
1.0
5.518 0.000 0.000
2.759 4.778 0.000
2.759 1.593 4.505
Mn Br N
2 2 4
direct
0.500 0.500 0.500 Mn
0.750 0.750 0.750 Mn
0.000 0.000 0.000 Br
0.250 0.250 0.250 Br
0.625 0.125 0.625 N
0.125 0.625 0.625 N
0.625 0.625 0.125 N
0.625 0.625 0.625 N
```

Values from the calculation:
- space-group type = Fd-3m
- energy (eV per atom) = -6.77

***

[16]
First-principles (PBEsol) data for a geometry-optimized MnBrN2O structure, as listed in Alexandria via LeMat-Bulk.

Geometry as POSCAR:
```
MnBrN2O
1.0
3.525 0.000 0.000
0.000 3.813 0.000
0.000 0.000 3.813
Mn O Br N
1 1 1 2
direct
0.000 0.000 0.000 Mn
0.500 0.000 0.000 O
0.500 0.500 0.500 Br
0.000 0.000 0.500 N
0.000 0.500 0.000 N
```

Values from the calculation:
- space-group type = P4/mmm
- energy (eV per atom) = -6.13

***

[17]
First-principles (PBEsol) data for a geometry-optimized MnBrN2O structure, as listed in Alexandria via LeMat-Bulk.

Geometry as POSCAR:
```
MnBrN2O
1.0
-2.673 -2.614 -1.070
-0.037 -1.441 3.612
-2.785 2.458 0.952
Mn O Br N
1 1 1 2
direct
0.500 0.500 0.500 Mn
0.000 0.000 0.500 O
0.000 0.000 0.000 Br
0.000 0.500 0.000 N
0.500 0.000 0.000 N
```

Values from the calculation:
- space-group type = P4/mmm
- energy (eV per atom) = -5.11

***

[18]
First-principles (PBEsol) data for a geometry-optimized MnSe2BrN structure, as listed in Alexandria via LeMat-Bulk.

Geometry as POSCAR:
```
MnSe2BrN
1.0
-1.531 -2.157 -2.209
4.180 -2.539 -0.418
-1.365 -2.865 3.745
Mn Se Br N
1 2 1 1
direct
0.000 0.000 0.000 Mn
0.000 0.000 0.500 Se
0.000 0.500 0.000 Se
0.500 0.500 0.500 Br
0.500 0.000 0.000 N
```

Values from the calculation:
- space-group type = P4/mmm
- energy (eV per atom) = -5.27

***

[19]
First-principles (PBEsol) data for a geometry-optimized NaMnBr2 structure, as listed in Alexandria via LeMat-Bulk.

Geometry as POSCAR:
```
NaMnBr2
1.0
3.780 0.000 0.000
1.890 3.274 0.000
1.890 1.091 9.196
Na Mn Br
1 1 2
direct
0.000 0.000 0.000 Na
0.500 0.500 0.500 Mn
0.889 0.889 0.334 Br
0.111 0.111 0.666 Br
```

Values from the calculation:
- space-group type = R-3m
- energy (eV per atom) = -4.22

***

[20]
First-principles (PBEsol) data for a geometry-optimized NaMnBr3 structure, as listed in Alexandria via LeMat-Bulk.

Geometry as POSCAR:
```
NaMnBr3
1.0
5.188 0.000 0.000
0.000 5.188 0.000
0.000 0.000 5.188
Na Mn Br
1 1 3
direct
0.000 0.000 0.000 Na
0.500 0.500 0.500 Mn
0.000 0.500 0.000 Br
0.000 0.000 0.500 Br
0.500 0.000 0.000 Br
```

Values from the calculation:
- space-group type = Pm-3m
- energy (eV per atom) = -3.43

***

[21]
First-principles (PBEsol) data for a geometry-optimized NaMnSeBr2 structure, as listed in Alexandria via LeMat-Bulk.

Geometry as POSCAR:
```
NaMnSeBr2
1.0
5.087 0.000 0.000
0.000 5.087 0.000
0.000 0.000 5.293
Na Mn Se Br
1 1 1 2
direct
0.000 0.000 0.000 Na
0.500 0.500 0.500 Mn
0.000 0.000 0.500 Se
0.000 0.500 0.000 Br
0.500 0.000 0.000 Br
```

Values from the calculation:
- space-group type = P4/mmm
- energy (eV per atom) = -3.45

***

[22]
First-principles (PBEsol) data for a geometry-optimized Mn3NbBr structure, as listed in Alexandria via LeMat-Bulk.

Geometry as POSCAR:
```
Mn3NbBr
1.0
4.348 0.000 0.000
0.000 4.348 0.000
0.000 0.000 4.348
Nb Mn Br
1 3 1
direct
0.500 0.500 0.500 Nb
0.000 0.500 0.000 Mn
0.000 0.000 0.500 Mn
0.500 0.000 0.000 Mn
0.000 0.000 0.000 Br
```

Values from the calculation:
- space-group type = Pm-3m
- energy above the lowest structure with this stoichiometry (eV/atom) = 0.000

***

[23]
First-principles (PBEsol) data for a geometry-optimized Mn3NbBr structure, as listed in Alexandria via LeMat-Bulk.

Geometry as POSCAR:
```
Mn3NbBr
1.0
4.729 0.000 0.000
0.000 4.729 0.000
0.000 0.000 4.729
Nb Mn Br
1 3 1
direct
0.000 0.000 0.000 Nb
0.000 0.500 0.000 Mn
0.000 0.000 0.500 Mn
0.500 0.000 0.000 Mn
0.500 0.500 0.500 Br
```

Values from the calculation:
- space-group type = Pm-3m
- energy above the lowest structure with this stoichiometry (eV/atom) = 0.277

***

[24]
First-principles (PBEsol) data for a geometry-optimized Mn2NiBr structure, as listed in Alexandria via LeMat-Bulk.

Geometry as POSCAR:
```
Mn2NiBr
1.0
3.254 0.000 0.000
-1.627 2.838 -0.135
0.000 -1.545 7.003
Br Mn Ni
1 2 1
direct
0.000 0.000 0.500 Br
0.760 0.521 0.785 Mn
0.240 0.479 0.215 Mn
0.500 0.000 0.000 Ni
```

Values from the calculation:
- space-group type = C2/m
- energy above the lowest structure with this stoichiometry (eV/atom) = 0.000

***

[25]
First-principles (PBEsol) data for a geometry-optimized MnNi3Br structure, as listed in Alexandria via LeMat-Bulk.

Geometry as POSCAR:
```
MnNi3Br
1.0
4.271 0.000 0.000
0.000 4.271 0.000
0.000 0.000 4.271
Ni Mn Br
3 1 1
direct
0.000 0.500 0.000 Ni
0.000 0.000 0.500 Ni
0.500 0.000 0.000 Ni
0.500 0.500 0.500 Mn
0.000 0.000 0.000 Br
```

Values from the calculation:
- space-group type = Pm-3m
- energy (eV per atom) = -5.03

***

[26]
First-principles (PBEsol) data for a geometry-optimized Mn2NiBr structure, as listed in Alexandria via LeMat-Bulk.

Geometry as POSCAR:
```
Mn2NiBr
1.0
-2.724 -1.240 0.244
1.569 -3.776 -1.680
0.539 -0.322 4.376
Br Mn Ni
1 2 1
direct
0.500 0.500 0.500 Br
0.000 0.500 0.000 Mn
0.000 0.000 0.500 Mn
0.500 0.000 0.000 Ni
```

Values from the calculation:
- space-group type = Cmmm
- energy above the lowest structure with this stoichiometry (eV/atom) = 0.190

***

[27]
First-principles (PBEsol) data for a geometry-optimized MnNiBr structure, as listed in Alexandria via LeMat-Bulk.

Geometry as POSCAR:
```
MnNiBr
1.0
4.158 0.000 0.000
2.079 3.601 0.000
2.079 1.200 3.395
Br Mn Ni
1 1 1
direct
0.000 0.000 0.000 Br
0.500 0.500 0.500 Mn
0.750 0.750 0.750 Ni
```

Values from the calculation:
- space-group type = F-43m
- energy above the lowest structure with this stoichiometry (eV/atom) = 0.000

***

[28]
First-principles (PBEsol) data for a geometry-optimized Mn2NiBr structure, as listed in Alexandria via LeMat-Bulk.

Geometry as POSCAR:
```
Mn2NiBr
1.0
3.032 0.000 0.000
0.000 4.343 0.000
0.000 0.000 4.343
Br Mn Ni
1 2 1
direct
0.500 0.000 0.000 Br
0.000 0.000 0.500 Mn
0.000 0.500 0.000 Mn
0.500 0.500 0.500 Ni
```

Values from the calculation:
- space-group type = P4/mmm
- energy above the lowest structure with this stoichiometry (eV/atom) = 0.230

***

[29]
First-principles (PBEsol) data for a geometry-optimized Y2MnNiBr structure, as listed in Alexandria via LeMat-Bulk.

Geometry as POSCAR:
```
Y2MnNiBr
1.0
4.460 0.000 0.000
0.000 5.204 0.000
0.000 0.000 5.204
Y Ni Mn Br
2 1 1 1
direct
0.000 0.000 0.500 Y
0.000 0.500 0.000 Y
0.000 0.000 0.000 Ni
0.500 0.000 0.000 Mn
0.500 0.500 0.500 Br
```

Values from the calculation:
- space-group type = P4/mmm
- energy (eV per atom) = -6.34